Density functional theory data (GGA-PBE) for a relaxed LuTaCuSi crystal.

Cell lengths 4.5731, 4.5731, 4.5731 Å; angles 60.00, 60.00, 60.00 degrees
Element x y z (fractional)
Cu 0.7500 0.7500 0.7500
Lu 0.5000 0.5000 0.5000
Si 0.0000 0.0000 0.0000
Ta 0.2500 0.2500 0.2500

Calculated values
Energy above the most stable polymorph in this dataset (eV per atom): 0.0000
Total magnetization (μB per formula unit): 0.0
Space group: F-43m, No. 216